one:
DFT (PBE) results for an optimized crystal structure of FeRuC2.

The calculation puts the density at 7.00 Mg/m³. As for the volume: 85.8 Å³/cell. The density of states at the Fermi level comes out at 0.00 states/eV/f.u.

a = 4.413 Å, b = 4.413 Å, c = 5.401 Å
α = 65.89°, β = 65.89°, γ = 90.00°
Atoms (fractional coordinates):
Fe1 0.500 0.500 0.000
Ru1 0.000 0.000 0.000
C1 0.146 0.625 0.250
Ru2 0.750 0.250 0.500
C2 0.875 0.854 0.750
C3 0.375 0.396 0.750
Fe2 0.250 0.750 0.500
C4 0.604 0.125 0.250

two:
DFT (PBE) results for an optimized crystal structure of FeRuC2.

The calculation puts the density at 8.80 Mg/m³. As for the volume: 34.1 Å³/cell. The density of states at the Fermi level comes out at 2.17 states/eV/f.u.

a = 3.641 Å, b = 3.641 Å, c = 3.641 Å
α = 60.00°, β = 60.00°, γ = 60.00°
Atoms (fractional coordinates):
C1 0.750 0.750 0.750
C2 0.250 0.250 0.250
Fe1 0.000 0.000 0.000
Ru1 0.500 0.500 0.500

Stability check: which of them is most stable? one.

one:
DFT (PBE) results for an optimized crystal structure of FeRuC3.

The calculation puts the density at 5.33 Mg/m³. As for the volume: 60.1 Å³/cell. The density of states at the Fermi level comes out at 11.26 states/eV/f.u.

a = 3.917 Å, b = 3.917 Å, c = 3.917 Å
α = 90.00°, β = 90.00°, γ = 90.00°
Site moments in Bohr magnetons follow the coordinates.
Atoms (fractional coordinates):
Fe1 0.500 0.500 0.500  0.09
Ru1 0.000 0.000 0.000  -0.09
C1 0.000 0.500 0.000  -0.01
C2 0.000 0.000 0.500  -0.04
C3 0.500 0.000 0.000  0.01

two:
DFT (PBE) results for an optimized crystal structure of FeRuC3.

The calculation puts the density at 6.38 Mg/m³. As for the volume: 50.2 Å³/cell. The density of states at the Fermi level comes out at 5.48 states/eV/f.u.

a = 3.689 Å, b = 3.689 Å, c = 3.689 Å
α = 90.00°, β = 90.00°, γ = 90.00°
Site moments in Bohr magnetons follow the coordinates.
Atoms (fractional coordinates):
Ru1 0.500 0.500 0.500  1.18
C1 0.000 0.000 0.500  -0.03
C2 0.500 0.000 0.000  -0.03
Fe1 0.000 0.000 0.000  -0.26
C3 0.000 0.500 0.000  -0.05

Stability check: which of them is most stable? two.

one:
DFT (PBE) results for an optimized crystal structure of FeCS3.

The calculation puts the density at 4.33 Mg/m³. As for the volume: 62.9 Å³/cell. The density of states at the Fermi level comes out at 5.90 states/eV/f.u.

a = 3.976 Å, b = 3.976 Å, c = 3.976 Å
α = 90.00°, β = 90.00°, γ = 90.00°
Atoms (fractional coordinates):
S1 0.000 0.000 0.500
C1 0.000 0.000 0.000
Fe1 0.500 0.500 0.500
S2 0.500 0.000 0.000
S3 0.000 0.500 0.000

two:
DFT (PBE) results for an optimized crystal structure of FeCS3.

The calculation puts the density at 3.34 Mg/m³. As for the volume: 81.5 Å³/cell. The density of states at the Fermi level comes out at 6.70 states/eV/f.u.

a = 4.336 Å, b = 4.336 Å, c = 4.336 Å
α = 90.00°, β = 90.00°, γ = 90.00°
Atoms (fractional coordinates):
S1 0.500 0.000 0.000
S2 0.000 0.500 0.000
C1 0.500 0.500 0.500
S3 0.000 0.000 0.500
Fe1 0.000 0.000 0.000

Stability check: which of them is most stable? one.

one:
DFT (PBE) results for an optimized crystal structure of FeSb3C.

The calculation puts the density at 6.90 Mg/m³. As for the volume: 104.3 Å³/cell. The density of states at the Fermi level comes out at 4.02 states/eV/f.u.

a = 4.707 Å, b = 4.707 Å, c = 4.707 Å
α = 90.00°, β = 90.00°, γ = 90.00°
Site moments in Bohr magnetons follow the coordinates.
Atoms (fractional coordinates):
Sb1 0.000 0.500 0.000  0.06
Fe1 0.500 0.500 0.500  -2.98
Sb2 0.000 0.000 0.500  0.05
C1 0.000 0.000 0.000  0.03
Sb3 0.500 0.000 0.000  0.04

two:
DFT (PBE) results for an optimized crystal structure of FeSb3C.

The calculation puts the density at 6.42 Mg/m³. As for the volume: 112.1 Å³/cell. The density of states at the Fermi level comes out at 4.06 states/eV/f.u.

a = 4.821 Å, b = 4.821 Å, c = 4.821 Å
α = 90.00°, β = 90.00°, γ = 90.00°
Atoms (fractional coordinates):
Fe1 0.000 0.000 0.000
Sb1 0.500 0.000 0.000
Sb2 0.000 0.500 0.000
C1 0.500 0.500 0.500
Sb3 0.000 0.000 0.500

Stability check: which of them is most stable? one.

one:
DFT (PBE) results for an optimized crystal structure of FeSbC3.

The calculation puts the density at 6.18 Mg/m³. As for the volume: 57.4 Å³/cell. The density of states at the Fermi level comes out at 3.64 states/eV/f.u.

a = 3.857 Å, b = 3.857 Å, c = 3.857 Å
α = 90.00°, β = 90.00°, γ = 90.00°
Atoms (fractional coordinates):
C1 0.000 0.000 0.500
Sb1 0.500 0.500 0.500
C2 0.500 0.000 0.000
C3 0.000 0.500 0.000
Fe1 0.000 0.000 0.000

two:
DFT (PBE) results for an optimized crystal structure of FeSbC3.

The calculation puts the density at 4.86 Mg/m³. As for the volume: 72.9 Å³/cell. The density of states at the Fermi level comes out at 4.68 states/eV/f.u.

a = 4.178 Å, b = 4.178 Å, c = 4.178 Å
α = 90.00°, β = 90.00°, γ = 90.00°
Site moments in Bohr magnetons follow the coordinates.
Atoms (fractional coordinates):
Sb1 0.000 0.000 0.000  0.01
C1 0.500 0.000 0.000  0.19
C2 0.000 0.500 0.000  0.17
C3 0.000 0.000 0.500  0.15
Fe1 0.500 0.500 0.500  -0.18

Stability check: which of them is most stable? one.

one:
DFT (PBE) results for an optimized crystal structure of FeSbTe2C.

The calculation puts the density at 7.42 Mg/m³. As for the volume: 99.6 Å³/cell. The density of states at the Fermi level comes out at 6.88 states/eV/f.u.

a = 4.650 Å, b = 4.650 Å, c = 4.607 Å
α = 90.00°, β = 90.00°, γ = 90.00°
Atoms (fractional coordinates):
Fe1 0.500 0.500 0.500
Sb1 0.000 0.000 0.500
C1 0.000 0.000 0.000
Te1 0.000 0.500 0.000
Te2 0.500 0.000 0.000

two:
DFT (PBE) results for an optimized crystal structure of FeSbTe2C.

The calculation puts the density at 5.96 Mg/m³. As for the volume: 123.8 Å³/cell. The density of states at the Fermi level comes out at 6.57 states/eV/f.u.

a = 5.035 Å, b = 5.035 Å, c = 4.886 Å
α = 90.00°, β = 90.00°, γ = 90.00°
Site moments in Bohr magnetons follow the coordinates.
Atoms (fractional coordinates):
Te1 0.000 0.500 0.000  0.04
Te2 0.500 0.000 0.000  0.04
Fe1 0.000 0.000 0.000  1.61
C1 0.500 0.500 0.500  0.65
Sb1 0.000 0.000 0.500  -0.05

Stability check: which of them is most stable? one.